# LaTlP PBEsol optimized geometry
data_LaTlP
_cell_length_a 4.6765
_cell_length_b 4.6765
_cell_length_c 7.9615
_cell_angle_alpha 90.00
_cell_angle_beta 90.00
_cell_angle_gamma 120.00
_symmetry_space_group_name_H-M 'P 63/m m c'
_symmetry_Int_Tables_number 194
_symmetry_space_group_name_Hall '-P 6c 2c'
loop_
_atom_site_label
_atom_site_fract_x
_atom_site_fract_y
_atom_site_fract_z
_atom_site_occupancy
La1 0.0000 0.0000 0.0000 1
Tl1 0.3333 0.6667 0.2500 1
P1 0.3333 0.6667 0.7500 1
# ΔE to the lowest computed polymorph (eV/atom): 0.0871
# Formation energy (eV per atom): -0.48